! CeHoCdPb | Alexandria via LeMat-Bulk | PBE | optimized geometry; values from VASP
&SYSTEM
  ibrav = 0, nat = 4, ntyp = 4
/
ATOMIC_SPECIES
Ce 140.12 Ce.upf
Ho 164.93 Ho.upf
Cd 112.41 Cd.upf
Pb 207.20 Pb.upf
CELL_PARAMETERS angstrom
-2.5071 2.5071 4.4038
2.5071 -2.5071 4.4038
2.5071 2.5071 -4.4038
ATOMIC_POSITIONS crystal
Ce 0.0000 0.0000 0.0000
Ho 0.5000 0.5000 0.0000
Cd 0.7500 0.2500 0.5000
Pb 0.2500 0.7500 0.5000
! spin magnetization = 0.3611 μB per atom
! crystal system = tetragonal
! E = -4.10 eV per atom

! Pm4AgSe3 | Alexandria via LeMat-Bulk | PBE | optimized geometry; values from VASP
&SYSTEM
  ibrav = 0, nat = 8, ntyp = 3
/
ATOMIC_SPECIES
Pm 145.00 Pm.upf
Ag 107.87 Ag.upf
Se 78.96 Se.upf
CELL_PARAMETERS angstrom
4.2555 -5.9905 0.0000
4.2555 5.9905 0.0000
0.0000 0.0000 4.1944
ATOMIC_POSITIONS crystal
Pm 0.2438 0.2438 0.5000
Pm 0.2459 0.7541 0.0000
Pm 0.7541 0.2459 0.0000
Pm 0.7562 0.7562 0.5000
Ag 0.5000 0.5000 0.0000
Se 0.0000 0.0000 0.0000
Se 0.0000 0.5000 0.5000
Se 0.5000 0.0000 0.5000
! energy relative to the elements, uncorrected = -1.420 eV per atom
! spin magnetization = 0.0000 μB per atom
! crystal system = orthorhombic

! Ba2CdIn3Pb4 | Alexandria via LeMat-Bulk | PBE | optimized geometry; values from VASP
&SYSTEM
  ibrav = 0, nat = 10, ntyp = 4
/
ATOMIC_SPECIES
Ba 137.33 Ba.upf
Cd 112.41 Cd.upf
In 114.82 In.upf
Pb 207.20 Pb.upf
CELL_PARAMETERS angstrom
5.1073 0.0000 0.0000
0.0000 5.1073 0.0000
0.0000 0.0000 13.1670
ATOMIC_POSITIONS crystal
Ba 0.0000 0.5000 0.2458
Ba 0.5000 0.0000 0.7542
Cd 0.5000 0.5000 0.0000
In 0.0000 0.0000 0.0000
In 0.0000 0.5000 0.6371
In 0.5000 0.0000 0.3629
Pb 0.0000 0.0000 0.5000
Pb 0.0000 0.5000 0.8665
Pb 0.5000 0.0000 0.1335
Pb 0.5000 0.5000 0.5000
! spin magnetization = 0.0000 μB per atom
! crystal system = tetragonal
! E = -3.05 eV per atom

! Pm2SmDy5 | Alexandria via LeMat-Bulk | PBE | optimized geometry; values from VASP
&SYSTEM
  ibrav = 0, nat = 16, ntyp = 3
/
ATOMIC_SPECIES
Pm 145.00 Pm.upf
Sm 150.36 Sm.upf
Dy 162.50 Dy.upf
CELL_PARAMETERS angstrom
8.1778 -4.9596 0.0000
8.1778 4.9596 0.0000
-0.9346 0.0000 6.4480
ATOMIC_POSITIONS crystal
Pm 0.1683 0.6757 0.8835
Pm 0.3243 0.8317 0.6165
Pm 0.6757 0.1683 0.3835
Pm 0.8317 0.3243 0.1165
Sm 0.0000 0.5000 0.0000
Sm 0.5000 0.0000 0.5000
Dy 0.0092 0.1886 0.6438
Dy 0.1886 0.0092 0.1438
Dy 0.2136 0.3915 0.4770
Dy 0.3915 0.2136 0.9770
Dy 0.4421 0.5579 0.2500
Dy 0.5579 0.4421 0.7500
Dy 0.6085 0.7864 0.0230
Dy 0.7864 0.6085 0.5230
Dy 0.8114 0.9908 0.8562
Dy 0.9908 0.8114 0.3562
! relative energy among the computed polymorphs = 150.3 meV/atom
! spin magnetization = 0.0000 μB per atom
! crystal system = monoclinic

! Ac8Tl3CoI4 | Alexandria via LeMat-Bulk | PBE | optimized geometry; values from VASP
&SYSTEM
  ibrav = 0, nat = 16, ntyp = 4
/
ATOMIC_SPECIES
Ac 227.00 Ac.upf
Tl 204.38 Tl.upf
Co 58.93 Co.upf
I 126.90 I.upf
CELL_PARAMETERS angstrom
8.2736 -4.7016 0.0000
8.2736 4.7016 0.0000
-5.5881 0.0000 8.1726
ATOMIC_POSITIONS crystal
Ac 0.2124 0.7712 0.6967
Ac 0.2195 0.2195 0.7061
Ac 0.2288 0.7876 0.3033
Ac 0.2548 0.2548 0.2636
Ac 0.7452 0.7452 0.7364
Ac 0.7712 0.2124 0.6967
Ac 0.7805 0.7805 0.2939
Ac 0.7876 0.2288 0.3033
Tl 0.0000 0.5000 0.5000
Tl 0.5000 0.0000 0.5000
Tl 0.5000 0.5000 0.5000
Co 0.0000 0.0000 0.5000
I 0.0000 0.0000 0.0000
I 0.0000 0.5000 0.0000
I 0.5000 0.0000 0.0000
I 0.5000 0.5000 0.0000
! energy relative to the elements, uncorrected = -0.614 eV per atom
! spin magnetization = 0.0001 μB per atom
! crystal system = monoclinic

! GdYLuCd | Alexandria via LeMat-Bulk | PBE | optimized geometry; values from VASP
&SYSTEM
  ibrav = 0, nat = 4, ntyp = 4
/
ATOMIC_SPECIES
Gd 157.25 Gd.upf
Y 88.91 Y.upf
Lu 174.97 Lu.upf
Cd 112.41 Cd.upf
CELL_PARAMETERS angstrom
0.0000 3.8425 3.8425
3.8425 0.0000 3.8425
3.8425 3.8425 0.0000
ATOMIC_POSITIONS crystal
Gd 0.0000 0.0000 0.0000
Y 0.5000 0.5000 0.5000
Lu 0.2500 0.2500 0.2500
Cd 0.7500 0.7500 0.7500
! spin magnetization = 1.9188 μB per atom
! crystal system = cubic
! E = -6.55 eV per atom

! CrCu2AsH | Alexandria via LeMat-Bulk | PBE | optimized geometry; values from VASP
&SYSTEM
  ibrav = 0, nat = 5, ntyp = 4
/
ATOMIC_SPECIES
Cr 52.00 Cr.upf
Cu 63.55 Cu.upf
As 74.92 As.upf
H 1.01 H.upf
CELL_PARAMETERS angstrom
3.5787 0.0000 0.0000
0.0000 3.5787 0.0000
0.0000 0.0000 4.6865
ATOMIC_POSITIONS crystal
Cr 0.0000 0.0000 0.0000
Cu 0.0000 0.5000 0.5000
Cu 0.5000 0.0000 0.5000
As 0.5000 0.5000 0.0000
H 0.5000 0.5000 0.5000
! relative energy among the computed polymorphs = 102.2 meV/atom
! spin magnetization = 0.6281 μB per atom
! crystal system = tetragonal

! TaInW | Alexandria via LeMat-Bulk | PBE | optimized geometry; values from VASP
&SYSTEM
  ibrav = 0, nat = 3, ntyp = 3
/
ATOMIC_SPECIES
Ta 180.95 Ta.upf
In 114.82 In.upf
W 183.84 W.upf
CELL_PARAMETERS angstrom
4.7035 0.0000 0.0000
-2.3517 4.0733 0.0000
0.0000 0.0000 2.8675
ATOMIC_POSITIONS crystal
Ta 0.0000 0.0000 0.0000
In 0.6667 0.3333 0.6166
W 0.3333 0.6667 0.2668
! relative energy among the computed polymorphs = 43.3 meV/atom
! spin magnetization = 0.0000 μB per atom
! crystal system = trigonal

! CsAuO | Alexandria via LeMat-Bulk | PBE | optimized geometry; values from VASP
&SYSTEM
  ibrav = 0, nat = 3, ntyp = 3
/
ATOMIC_SPECIES
Cs 132.91 Cs.upf
Au 196.97 Au.upf
O 16.00 O.upf
CELL_PARAMETERS angstrom
3.9807 0.0000 0.0000
0.0000 4.5922 0.0000
0.0000 0.0000 4.6185
ATOMIC_POSITIONS crystal
Cs 0.0000 0.0000 0.0000
Au 0.5000 0.5000 0.4810
O 0.0000 0.5000 0.5657
! energy relative to the elements, uncorrected = -0.702 eV per atom
! spin magnetization = 0.0000 μB per atom
! crystal system = orthorhombic

! PrMgZn4 | Alexandria via LeMat-Bulk | PBE | optimized geometry; values from VASP
&SYSTEM
  ibrav = 0, nat = 6, ntyp = 3
/
ATOMIC_SPECIES
Pr 140.91 Pr.upf
Mg 24.30 Mg.upf
Zn 65.41 Zn.upf
CELL_PARAMETERS angstrom
4.3777 0.0000 0.0000
-2.1889 3.7912 0.0000
0.0000 0.0000 7.1675
ATOMIC_POSITIONS crystal
Pr 0.0000 0.0000 0.0000
Mg 0.0000 0.0000 0.5000
Zn 0.3333 0.6667 0.2897
Zn 0.3333 0.6667 0.7103
Zn 0.6667 0.3333 0.2897
Zn 0.6667 0.3333 0.7103
! spin magnetization = 0.0000 μB per atom
! crystal system = hexagonal
! E = -2.21 eV per atom

! Pr12Y3In | Alexandria via LeMat-Bulk | PBE | optimized geometry; values from VASP
&SYSTEM
  ibrav = 0, nat = 16, ntyp = 3
/
ATOMIC_SPECIES
Pr 140.91 Pr.upf
Y 88.91 Y.upf
In 114.82 In.upf
CELL_PARAMETERS angstrom
5.1365 0.0000 0.0000
0.0000 5.1365 0.0000
0.0000 0.0000 20.8344
ATOMIC_POSITIONS crystal
Pr 0.0000 0.0000 0.0000
Pr 0.0000 0.0000 0.2474
Pr 0.0000 0.0000 0.5000
Pr 0.0000 0.0000 0.7526
Pr 0.0000 0.5000 0.1205
Pr 0.0000 0.5000 0.3737
Pr 0.0000 0.5000 0.6263
Pr 0.0000 0.5000 0.8795
Pr 0.5000 0.0000 0.1205
Pr 0.5000 0.0000 0.3737
Pr 0.5000 0.0000 0.6263
Pr 0.5000 0.0000 0.8795
Y 0.5000 0.5000 0.2484
Y 0.5000 0.5000 0.5000
Y 0.5000 0.5000 0.7516
In 0.5000 0.5000 0.0000
! spin magnetization = 0.0000 μB per atom
! crystal system = tetragonal
! E = -5.02 eV per atom

! CdIn6Bi | Alexandria via LeMat-Bulk | PBE | optimized geometry; values from VASP
&SYSTEM
  ibrav = 0, nat = 8, ntyp = 3
/
ATOMIC_SPECIES
Cd 112.41 Cd.upf
In 114.82 In.upf
Bi 208.98 Bi.upf
CELL_PARAMETERS angstrom
3.5863 -5.6395 0.0000
3.5863 5.6395 0.0000
-3.1028 0.0000 5.5567
ATOMIC_POSITIONS crystal
Cd 0.0000 0.0000 0.0000
In 0.0025 0.5125 0.7517
In 0.4875 0.9975 0.2483
In 0.4885 0.4885 0.2417
In 0.5115 0.5115 0.7583
In 0.5125 0.0025 0.7517
In 0.9975 0.4875 0.2483
Bi 0.0000 0.0000 0.5000
! relative energy among the computed polymorphs = 20.0 meV/atom
! spin magnetization = 0.0000 μB per atom
! crystal system = monoclinic

! Pr2Ge4Rh5 | Alexandria via LeMat-Bulk | PBE | optimized geometry; values from VASP
&SYSTEM
  ibrav = 0, nat = 11, ntyp = 3
/
ATOMIC_SPECIES
Pr 140.91 Pr.upf
Ge 72.64 Ge.upf
Rh 102.91 Rh.upf
CELL_PARAMETERS angstrom
0.0000 4.9078 7.3239
2.8650 0.0000 7.3239
2.8650 4.9078 0.0000
ATOMIC_POSITIONS crystal
Pr 0.1292 0.1292 0.8708
Pr 0.8708 0.8708 0.1292
Ge 0.2132 0.5263 0.4737
Ge 0.4737 0.7868 0.2132
Ge 0.5263 0.2132 0.7868
Ge 0.7868 0.4737 0.5263
Rh 0.0000 0.0000 0.5000
Rh 0.2500 0.2500 0.2500
Rh 0.5000 0.5000 0.0000
Rh 0.5000 0.5000 0.5000
Rh 0.7500 0.7500 0.7500
! spin magnetization = 0.0000 μB per atom
! crystal system = orthorhombic
! E = -6.68 eV per atom

! Na3UTi3S8 | Alexandria via LeMat-Bulk | PBE | optimized geometry; values from VASP
&SYSTEM
  ibrav = 0, nat = 15, ntyp = 4
/
ATOMIC_SPECIES
Na 22.99 Na.upf
U 238.03 U.upf
Ti 47.87 Ti.upf
S 32.06 S.upf
CELL_PARAMETERS angstrom
3.6287 2.0950 6.7542
-3.6287 2.0950 6.7542
0.0000 -4.1901 6.7542
ATOMIC_POSITIONS crystal
Na 0.0000 0.5000 0.5000
Na 0.5000 0.0000 0.5000
Na 0.5000 0.5000 0.0000
U 0.5000 0.5000 0.5000
Ti 0.0000 0.0000 0.5000
Ti 0.0000 0.5000 0.0000
Ti 0.5000 0.0000 0.0000
S 0.2198 0.7479 0.7479
S 0.2363 0.2363 0.2363
S 0.2521 0.2521 0.7802
S 0.2521 0.7802 0.2521
S 0.7479 0.2198 0.7479
S 0.7479 0.7479 0.2198
S 0.7637 0.7637 0.7637
S 0.7802 0.2521 0.2521
! energy relative to the elements, uncorrected = -1.361 eV per atom
! spin magnetization = 0.3296 μB per atom
! crystal system = trigonal

! Te2PdCI | Alexandria via LeMat-Bulk | PBE | optimized geometry; values from VASP
&SYSTEM
  ibrav = 0, nat = 5, ntyp = 4
/
ATOMIC_SPECIES
Te 127.60 Te.upf
Pd 106.42 Pd.upf
C 12.01 C.upf
I 126.90 I.upf
CELL_PARAMETERS angstrom
4.7516 0.0000 0.0000
0.0000 4.7516 0.0000
0.0000 0.0000 4.9829
ATOMIC_POSITIONS crystal
Te 0.0000 0.5000 0.0000
Te 0.5000 0.0000 0.0000
Pd 0.0000 0.0000 0.5000
C 0.5000 0.5000 0.0000
I 0.5000 0.5000 0.5000
! energy relative to the elements, uncorrected = 1.208 eV per atom
! relative energy among the computed polymorphs = 0.0 meV/atom
! spin magnetization = 0.0000 μB per atom
! crystal system = tetragonal

! Cd6GaSn | Alexandria via LeMat-Bulk | PBE | optimized geometry; values from VASP
&SYSTEM
  ibrav = 0, nat = 8, ntyp = 3
/
ATOMIC_SPECIES
Cd 112.41 Cd.upf
Ga 69.72 Ga.upf
Sn 118.71 Sn.upf
CELL_PARAMETERS angstrom
4.5159 0.0000 0.0000
0.0000 4.5159 0.0000
0.0000 0.0000 9.0324
ATOMIC_POSITIONS crystal
Cd 0.0000 0.0000 0.0000
Cd 0.0000 0.0000 0.5000
Cd 0.0000 0.5000 0.2395
Cd 0.0000 0.5000 0.7605
Cd 0.5000 0.0000 0.2395
Cd 0.5000 0.0000 0.7605
Ga 0.5000 0.5000 0.0000
Sn 0.5000 0.5000 0.5000
! relative energy among the computed polymorphs = 8.6 meV/atom
! spin magnetization = 0.0000 μB per atom
! crystal system = tetragonal

! MnReRh2 | Alexandria via LeMat-Bulk | PBE | optimized geometry; values from VASP
&SYSTEM
  ibrav = 0, nat = 4, ntyp = 3
/
ATOMIC_SPECIES
Mn 54.94 Mn.upf
Re 186.21 Re.upf
Rh 102.91 Rh.upf
CELL_PARAMETERS angstrom
4.6577 0.0000 0.0000
0.0000 2.7005 0.0000
-1.5907 0.0000 4.4178
ATOMIC_POSITIONS crystal
Mn 0.0000 0.0000 0.0000
Re 0.5000 0.5000 0.0000
Rh 0.0000 0.5000 0.5000
Rh 0.5000 0.0000 0.5000
! relative energy among the computed polymorphs = 92.8 meV/atom
! spin magnetization = 0.5053 μB per atom
! crystal system = monoclinic

! CeUTe6 | Alexandria via LeMat-Bulk | PBE | optimized geometry; values from VASP
&SYSTEM
  ibrav = 0, nat = 8, ntyp = 3
/
ATOMIC_SPECIES
Ce 140.12 Ce.upf
U 238.03 U.upf
Te 127.60 Te.upf
CELL_PARAMETERS angstrom
4.4170 0.0000 0.0000
0.0000 2.2086 13.1239
0.0000 -2.2086 13.1239
ATOMIC_POSITIONS crystal
Ce 0.0000 0.0000 0.0000
U 0.5000 0.6596 0.6596
Te 0.0000 0.1258 0.1258
Te 0.0000 0.4082 0.4082
Te 0.0000 0.7494 0.7494
Te 0.5000 0.2493 0.2493
Te 0.5000 0.5369 0.5369
Te 0.5000 0.9081 0.9081
! energy relative to the elements, uncorrected = -0.756 eV per atom
! spin magnetization = 0.3514 μB per atom
! crystal system = orthorhombic

! DyHF4 | Alexandria via LeMat-Bulk | PBE | optimized geometry; values from VASP
&SYSTEM
  ibrav = 0, nat = 12, ntyp = 3
/
ATOMIC_SPECIES
Dy 162.50 Dy.upf
H 1.01 H.upf
F 19.00 F.upf
CELL_PARAMETERS angstrom
4.3775 0.0000 0.0000
0.0000 6.9291 0.0000
-1.4106 0.0000 5.0927
ATOMIC_POSITIONS crystal
Dy 0.0910 0.2500 0.1207
Dy 0.9090 0.7500 0.8793
H 0.4388 0.7500 0.3620
H 0.5612 0.2500 0.6380
F 0.1348 0.5638 0.2262
F 0.1348 0.9362 0.2262
F 0.3309 0.2500 0.5823
F 0.3938 0.7500 0.8326
F 0.6062 0.2500 0.1674
F 0.6691 0.7500 0.4177
F 0.8652 0.0638 0.7738
F 0.8652 0.4362 0.7738
! relative energy among the computed polymorphs = 28.7 meV/atom
! spin magnetization = 0.0000 μB per atom
! crystal system = monoclinic

! KSc2Ni | Alexandria via LeMat-Bulk | PBE | optimized geometry; values from VASP
&SYSTEM
  ibrav = 0, nat = 4, ntyp = 3
/
ATOMIC_SPECIES
K 39.10 K.upf
Sc 44.96 Sc.upf
Ni 58.69 Ni.upf
CELL_PARAMETERS angstrom
-1.6903 1.7543 9.8226
1.6903 -1.7543 9.8226
1.6903 1.7543 -9.8226
ATOMIC_POSITIONS crystal
K 0.0000 0.0000 0.0000
Sc 0.3264 0.3264 0.0000
Sc 0.6824 0.1824 0.5000
Ni 0.2322 0.7322 0.5000
! relative energy among the computed polymorphs = 81.7 meV/atom
! spin magnetization = 0.0001 μB per atom
! crystal system = orthorhombic